No. 1
HoSc4 | GGA-PBE | relaxed

Cell: 3.325 3.325 13.547 Å, 96.95 96.95 60.04°
Fractional coordinates of all 5 atoms:
Ho: 0.000 0.000 0.000
Sc: 0.200 0.200 0.598
Sc: 0.401 0.401 0.207
Sc: 0.599 0.599 0.793
Sc: 0.800 0.800 0.402

Space group: No. 12
Density of states at the Fermi level (states/eV/atom): 1.858
Energy relative to the elements (eV per atom): 0.06
VASP energy (eV/atom): -5.924
Distance to the lowest polymorph of the same formula (eV/f.u.): 0.00


No. 2
IrIBr3 | GGA-PBE | relaxed

Cell: 5.118 5.118 5.118 Å, 90.00 90.00 90.00°
Fractional coordinates of all 5 atoms:
Ir: 0.000 0.000 0.000
I: 0.500 0.500 0.500
Br: 0.000 0.000 0.500
Br: 0.000 0.500 0.000
Br: 0.500 0.000 0.000

Space group: No. 221
Density of states at the Fermi level (states/eV/atom): 1.660
VASP energy (eV/atom): -2.738
Distance to the lowest polymorph of the same formula (eV/f.u.): 2.41


No. 3
BeNiIr2 | GGA-PBE | relaxed

Cell: 4.918 4.918 4.918 Å, 147.61 127.86 62.73°
Fractional coordinates of all 4 atoms:
Be: 0.000 0.000 0.000
Ni: 0.500 0.500 0.000
Ir: 0.217 0.717 0.500
Ir: 0.783 0.283 0.500

Space group: No. 71
Density of states at the Fermi level (states/eV/atom): 1.214
Energy relative to the elements (eV per atom): -0.12
VASP energy (eV/atom): -6.931